# 1
20
Lattice="5.968 0.000 0.000 2.984 8.210 -0.619 2.984 0.654 8.207" Properties=species:S:1:pos:R:3 comment="Ho2Ga3Au5, optimized geometry, DFT PBE" crystal_system=orthorhombic total_energy_ev_per_atom=-4.014 m_tot_mub_per_fu=0.000 ef_kcal_per_mol_atoms=-12.73 space_group=Ibam pbc="T T T"
Ho 2.984 4.942 0.820
Ho 5.968 1.572 4.757
Ho 8.952 3.922 6.768
Ho 5.968 7.292 2.831
Ga 5.968 4.662 5.935
Ga 8.952 6.583 3.691
Ga 5.968 4.203 1.653
Ga 2.984 2.281 3.897
Ga 1.492 0.000 0.000
Ga 4.476 0.000 0.000
Au 5.968 2.762 7.541
Au 8.952 7.877 1.566
Au 5.968 6.102 0.047
Au 2.984 0.988 6.022
Au 7.460 6.773 5.798
Au 4.476 2.091 1.790
Au 7.460 4.432 3.794
Au 4.476 4.432 3.794
Au 1.492 2.091 1.790
Au 10.444 6.773 5.798


# 2
10
Lattice="-2.901 1.993 1.582 -4.080 -7.415 1.864 2.613 -2.458 7.889" Properties=species:S:1:pos:R:3 comment="La3PbO, optimized geometry, DFT PBE" e_form_raw_ev_per_atom=-1.353 crystal_system=orthorhombic total_energy_ev_per_atom=-6.042 m_tot_mub_per_fu=0.000 space_group=Cmmm pbc="T T T"
La -1.802 -2.923 8.504
La -0.889 -0.185 6.728
La -4.804 -3.085 3.203
La -4.977 -6.687 2.719
La -4.579 -4.980 6.004
La -1.506 -3.371 4.905
Pb -1.935 -6.259 7.758
Pb -2.652 -0.325 3.671
O -3.242 -5.029 3.813
O 0.105 -2.551 6.825